DFT (PBE) results for a relaxed structure of YCr2Ru.

Output
energy relative to the lowest polymorph listed for this composition: 35 meV/atom
ΔE_f: 0.2772 eV/atom
VASP energy: -0.31125 hartree per atom

Cell: 4.5644 4.5644 4.5644 Å, 119.89 119.89 90.19°
With the nearest neighbours (Å) after each atom.
Positions (direct):
Y 0.0000 0.0000 0.0000  4 Cr 2.80, 4 Ru 2.80
Cr 0.2500 0.7500 0.5000  4 Cr 2.80, 4 Y 2.80
Cr 0.5000 0.5000 0.0000  4 Cr 2.80, 4 Ru 2.80
Ru 0.7500 0.2500 0.5000  4 Cr 2.80, 4 Y 2.80